# CaFe2P2O10 (PBE+U, relaxed)
# VASP energy = -6.829 eV per atom
data_CaFe2P2O10
_symmetry_space_group_name_H-M 'F d d d'
_symmetry_Int_Tables_number 70
_cell_length_a 7.320
_cell_length_b 11.878
_cell_length_c 15.628
_cell_angle_alpha 90.00
_cell_angle_beta 90.00
_cell_angle_gamma 90.00
loop_
_symmetry_equiv_pos_as_xyz
'x,y,z'
'-x,-y,-z'
'-x+1/4,-y+1/4,z'
'x+1/4,y+1/4,-z'
'x,-y+1/4,-z+1/4'
'-x,y+1/4,z+1/4'
'-x+1/4,y,-z+1/4'
'x+1/4,-y,z+1/4'
'x,y+1/2,z+1/2'
'-x,-y+1/2,-z+1/2'
'-x+1/4,-y+3/4,z+1/2'
'x+1/4,y+3/4,-z+1/2'
'x,-y+3/4,-z+3/4'
'-x,y+3/4,z+3/4'
'-x+1/4,y+1/2,-z+3/4'
'x+1/4,-y+1/2,z+3/4'
'x+1/2,y,z+1/2'
'-x+1/2,-y,-z+1/2'
'-x+3/4,-y+1/4,z+1/2'
'x+3/4,y+1/4,-z+1/2'
'x+1/2,-y+1/4,-z+3/4'
'-x+1/2,y+1/4,z+3/4'
'-x+3/4,y,-z+3/4'
'x+3/4,-y,z+3/4'
'x+1/2,y+1/2,z'
'-x+1/2,-y+1/2,-z'
'-x+3/4,-y+3/4,z'
'x+3/4,y+3/4,-z'
'x+1/2,-y+3/4,-z+1/4'
'-x+1/2,y+3/4,z+1/4'
'-x+3/4,y+1/2,-z+1/4'
'x+3/4,-y+1/2,z+1/4'
loop_
_atom_site_label
_atom_site_fract_x
_atom_site_fract_y
_atom_site_fract_z
Ca1 0.125 0.125 0.125
Fe1 0.000 0.000 0.500
P1 0.125 0.125 0.332
O1 0.043 0.364 0.523
O2 0.103 0.020 0.859
O3 0.125 0.125 0.555